1.
First-principles (PBE) data for a geometry-optimized Y2PtCl structure, as listed in Alexandria via LeMat-Bulk.

```
8
Lattice="4.169 0.000 0.000 0.000 5.847 0.000 0.000 0.000 7.636" Properties=species:S:1:pos:R:3 pbc="T T T"
Y 0.000 0.000 1.886
Y 0.000 0.000 5.749
Y 2.084 2.924 1.931
Y 2.084 2.924 5.704
Pt 0.000 2.924 0.000
Pt 2.084 0.000 3.818
Cl 0.000 2.924 3.818
Cl 2.084 0.000 0.000
```

* energy above the most stable polymorph in this dataset: 276 meV per atom
* density of states at the Fermi level: 2.99 states/eV/f.u.
* DFT total energy: -6.2715 eV per atom
* magnetic moment: 0.0000 μB per atom

2.
First-principles (PBE) data for a geometry-optimized Y2PtCl structure, as listed in Alexandria via LeMat-Bulk.

```
16
Lattice="7.130 0.000 0.000 0.000 7.130 0.000 0.000 0.000 7.130" Properties=species:S:1:pos:R:3 pbc="T T T"
Y 0.000 0.000 0.000
Y 0.000 3.565 3.565
Y 1.782 1.782 1.782
Y 1.782 5.347 5.347
Y 3.565 0.000 3.565
Y 3.565 3.565 0.000
Y 5.347 1.782 5.347
Y 5.347 5.347 1.782
Pt 0.000 0.000 3.565
Pt 0.000 3.565 0.000
Pt 3.565 0.000 0.000
Pt 3.565 3.565 3.565
Cl 1.782 1.782 5.347
Cl 1.782 5.347 1.782
Cl 5.347 1.782 1.782
Cl 5.347 5.347 5.347
```

* energy above the most stable polymorph in this dataset: 1183 meV per atom
* density of states at the Fermi level: 3.59 states/eV/f.u.
* DFT total energy: -5.3649 eV per atom
* magnetic moment: 0.0000 μB per atom

3.
First-principles (PBE) data for a geometry-optimized YPt2Cl structure, as listed in Alexandria via LeMat-Bulk.

```
12
Lattice="3.371 0.000 0.000 -1.685 2.919 0.000 0.000 0.000 25.228" Properties=species:S:1:pos:R:3 pbc="T T T"
Y 0.000 0.000 0.000
Y 0.000 1.946 16.819
Y 1.685 0.973 8.409
Pt 0.000 0.000 6.336
Pt 0.000 0.000 18.892
Pt 0.000 1.946 10.483
Pt 0.000 1.946 23.154
Pt 1.685 0.973 2.074
Pt 1.685 0.973 14.745
Cl 0.000 0.000 12.614
Cl 0.000 1.946 4.205
Cl 1.685 0.973 21.023
```

* energy above the most stable polymorph in this dataset: 717 meV per atom
* density of states at the Fermi level: 2.33 states/eV/f.u.
* DFT total energy: -5.3504 eV per atom
* magnetic moment: 0.0000 μB per atom

> Look up the density of states at the Fermi level of the second one.

3.59 states/eV/f.u.